First-principles (PBE) data for a relaxed Ti4Cr2C crystal, as listed in Alexandria via LeMat-Bulk.

Calculated values
**ΔH_f (0 K)**: 30.92 kJ per mole of atoms
**Space group**: I4/mmm (139)
**Volume**: 105 Å³ per cell

Cell: 4.1952 4.1952 6.6387 Å, 71.58 71.58 90.00°
Fractional positions:
Cr  0.3810  0.3810  0.2380
Cr  0.6190  0.6190  0.7620
C  0.0000  0.0000  0.0000
Ti  0.1799  0.1799  0.6403
Ti  0.8201  0.8201  0.3597
Ti  0.0000  0.5000  0.0000
Ti  0.5000  0.0000  0.0000